Entry 1:
VASP calculation (PBE-GGA) on TiCuSeN2 after structural relaxation.

For the total magnetization, the calculation gives 0.00 Bohr magnetons per cell. The calculation puts the total energy at -6.013 eV per atom. As for the formation energy from raw total energies: 0.41 eV/atom. The value obtained for the density of states at the Fermi level is 3.375 states/eV/cell.

It has space group P4/mmm (No. 123), with a = 3.791 Å, b = 3.791 Å, c = 5.618 Å, α = 90.00°, β = 90.00° and γ = 90.00°. The asymmetric unit holds Ti at (0.000, 0.000, 0.000), Cu at (0.500, 0.500, 0.500), Se at (0.000, 0.000, 0.500) and N at (0.000, 0.500, 0.000).

***

Entry 2:
VASP calculation (PBE-GGA) on Ti2CuSeN after structural relaxation.

For the total magnetization, the calculation gives 1.97 Bohr magnetons per cell. The calculation puts the total energy at -5.227 eV per atom. As for the formation energy from raw total energies: 1.11 eV/atom. The value obtained for the density of states at the Fermi level is 5.412 states/eV/cell.

It has space group P4/mmm (No. 123), with a = 4.714 Å, b = 4.714 Å, c = 4.256 Å, α = 90.00°, β = 90.00° and γ = 90.00°. The asymmetric unit holds Ti at (0.000, 0.500, 0.000), Cu at (0.000, 0.000, 0.500), Se at (0.000, 0.000, 0.000) and N at (0.500, 0.500, 0.500).

***

Entry 3:
VASP calculation (PBE-GGA) on TiCuSeN2 after structural relaxation.

For the total magnetization, the calculation gives 0.00 Bohr magnetons per cell. The calculation puts the total energy at -5.347 eV per atom. As for the formation energy from raw total energies: 1.08 eV/atom. The value obtained for the density of states at the Fermi level is 4.790 states/eV/cell.

It has space group P4/mmm (No. 123), with a = 3.781 Å, b = 3.781 Å, c = 4.707 Å, α = 90.00°, β = 90.00° and γ = 90.00°. The asymmetric unit holds Ti at (0.000, 0.000, 0.000), Cu at (0.500, 0.500, 0.500), Se at (0.500, 0.500, 0.000) and N at (0.000, 0.500, 0.500).

***

Entry 4:
VASP calculation (PBE-GGA) on TlCuSeN2 after structural relaxation.

For the total magnetization, the calculation gives 3.36 Bohr magnetons per cell. The calculation puts the total energy at -3.969 eV per atom. As for the formation energy from raw total energies: 1.35 eV/atom. The value obtained for the density of states at the Fermi level is 2.383 states/eV/cell.

It has space group P4/mmm (No. 123), with a = 3.995 Å, b = 3.995 Å, c = 5.296 Å, α = 90.00°, β = 90.00° and γ = 90.00°. The asymmetric unit holds Tl at (0.000, 0.000, 0.000), Cu at (0.500, 0.500, 0.500), Se at (0.500, 0.500, 0.000) and N at (0.000, 0.500, 0.500).

***

Entry 5:
VASP calculation (PBE-GGA) on TlCuSe2N after structural relaxation.

For the total magnetization, the calculation gives 1.07 Bohr magnetons per cell. The calculation puts the total energy at -3.680 eV per atom. As for the formation energy from raw total energies: 0.67 eV/atom. The value obtained for the density of states at the Fermi level is 4.854 states/eV/cell.

It has space group P4/mmm (No. 123), with a = 5.254 Å, b = 5.254 Å, c = 3.601 Å, α = 90.00°, β = 90.00° and γ = 90.00°. The asymmetric unit holds Tl at (0.000, 0.000, 0.000), Cu at (0.500, 0.500, 0.500), Se at (0.000, 0.500, 0.500) and N at (0.500, 0.500, 0.000).

***

Entry 6:
VASP calculation (PBE-GGA) on TlCuSeN2 after structural relaxation.

For the total magnetization, the calculation gives 3.48 Bohr magnetons per cell. The calculation puts the total energy at -3.377 eV per atom. As for the formation energy from raw total energies: 1.94 eV/atom. The value obtained for the density of states at the Fermi level is 2.850 states/eV/cell.

It has space group P4/mmm (No. 123), with a = 4.221 Å, b = 4.221 Å, c = 5.984 Å, α = 90.00°, β = 90.00° and γ = 90.00°. The asymmetric unit holds Tl at (0.000, 0.000, 0.000), Cu at (0.500, 0.500, 0.500), Se at (0.000, 0.000, 0.500) and N at (0.000, 0.500, 0.000).

***

Entry 7:
VASP calculation (PBE-GGA) on TlCuSe2N after structural relaxation.

For the total magnetization, the calculation gives 2.78 Bohr magnetons per cell. The calculation puts the total energy at -2.895 eV per atom. As for the formation energy from raw total energies: 1.46 eV/atom. The value obtained for the density of states at the Fermi level is 5.078 states/eV/cell.

It has space group P4/mmm (No. 123), with a = 5.496 Å, b = 5.496 Å, c = 4.258 Å, α = 90.00°, β = 90.00° and γ = 90.00°. The asymmetric unit holds Tl at (0.000, 0.000, 0.000), Cu at (0.500, 0.500, 0.500), Se at (0.000, 0.500, 0.000) and N at (0.000, 0.000, 0.500).

***

Entry 8:
VASP calculation (PBE-GGA) on U2CuSe2N2 after structural relaxation.

For the total magnetization, the calculation gives 2.99 Bohr magnetons per cell. The calculation puts the total energy at -8.256 eV per atom. As for the formation energy from raw total energies: -1.07 eV/atom. The value obtained for the density of states at the Fermi level is 7.815 states/eV/cell.

It has space group P-3m1 (No. 164), with a = 3.8331 Å, b = 3.8331 Å, c = 11.1467 Å, α = 90.00°, β = 90.00° and γ = 120.00°. The asymmetric unit holds U at (0.3333, 0.6667, 0.1275), Cu at (0.0000, 0.0000, 0.5000), Se at (0.0000, 0.0000, 0.2969) and N at (0.3333, 0.6667, 0.9234).